The following is a DFT calculation (PBE-GGA) of HgPdS2 after structural relaxation.

Cell lengths 5.7732, 5.7732, 6.9750 Å; angles 65.55, 65.55, 90.00 degrees
Element x y z (fractional)
S 0.5813 0.1250 0.2500
S 0.1687 0.6250 0.2500
S 0.3750 0.4187 0.7500
S 0.8750 0.8313 0.7500
Hg 0.0000 0.0000 0.0000
Hg 0.7500 0.2500 0.5000
Pd 0.5000 0.5000 0.0000
Pd 0.2500 0.7500 0.5000

Output
**Formation energy from raw total energies**: -4.0 kJ/mol of atoms
**E**: -3.479 eV/atom
**V**: 23.6 A^3/atom
**Total magnetization**: 0.00 μB/cell
**Space group**: I-42d